Computed, not measured: crystalline SrMg2Si at its relaxed geometry at the PBE level of DFT.

E_form (uncorrected) (eV per atom): -0.0382

abc: 6.595 6.595 5.463
angles: 114.28 114.28 28.82
Fractional coordinates of all 4 atoms:
Sr (0.000, 0.000, 0.000)
Mg (0.203, 0.203, 0.703)
Mg (0.797, 0.797, 0.297)
Si (0.500, 0.500, 0.500)

***

Computed, not measured: crystalline LaDy5Ru4 at its relaxed geometry at the PBE level of DFT.

Energy of formation (meV per atom): -284

abc: 3.409 3.409 19.572
angles: 90.00 90.00 90.00
Fractional coordinates of all 10 atoms:
La (0.000, 0.000, 0.000)
Dy (0.500, 0.500, 0.155)
Dy (0.500, 0.500, 0.327)
Dy (0.500, 0.500, 0.500)
Dy (0.500, 0.500, 0.673)
Dy (0.500, 0.500, 0.845)
Ru (0.000, 0.000, 0.235)
Ru (0.000, 0.000, 0.413)
Ru (0.000, 0.000, 0.587)
Ru (0.000, 0.000, 0.765)

***

Computed, not measured: crystalline SmGa4Hg at its relaxed geometry at the PBE level of DFT.

Energy of formation (meV per atom): -225

abc: 5.627 5.627 5.627
angles: 60.00 60.00 60.00
Fractional coordinates of all 6 atoms:
Sm (0.000, 0.000, 0.000)
Ga (0.375, 0.375, 0.375)
Ga (0.375, 0.375, 0.876)
Ga (0.375, 0.876, 0.375)
Ga (0.876, 0.375, 0.375)
Hg (0.750, 0.750, 0.750)

***

Computed, not measured: crystalline Ce2Ge2Rh5 at its relaxed geometry at the PBE level of DFT.

Energy of formation (meV per atom): -793

abc: 4.189 4.189 9.034
angles: 90.00 90.00 90.00
Fractional coordinates of all 9 atoms:
Ce (0.000, 0.000, 0.000)
Ce (0.000, 0.000, 0.500)
Ge (0.500, 0.500, 0.141)
Ge (0.500, 0.500, 0.859)
Rh (0.000, 0.500, 0.274)
Rh (0.000, 0.500, 0.726)
Rh (0.500, 0.000, 0.274)
Rh (0.500, 0.000, 0.726)
Rh (0.500, 0.500, 0.500)